# InCuNiAg, relaxed, DFT GGA-PBE
# **Offset from the most stable computed form**: 89 meV/atom
data_InCuNiAg
_cell_length_a 6.274
_cell_length_b 6.274
_cell_length_c 6.274
_cell_angle_alpha 90.00
_cell_angle_beta 90.00
_cell_angle_gamma 90.00
_symmetry_space_group_name_H-M 'F -4 3 m'
_symmetry_Int_Tables_number 216
_symmetry_space_group_name_Hall 'F -4 2 3'
loop_
_atom_site_label
_atom_site_type_symbol
_atom_site_fract_x
_atom_site_fract_y
_atom_site_fract_z
In1 In 0.000 0.000 0.000
Cu1 Cu 0.250 0.250 0.250
Ni1 Ni 0.000 0.000 0.500
Ag1 Ag 0.250 0.250 0.750